[1]
First-principles (PBE) data for a relaxed structure of Pr3MgTl2, as listed in Alexandria.

a = 5.5510 Å, b = 5.5510 Å, c = 13.6177 Å
α = 90.00°, β = 90.00°, γ = 120.00°
Fractional positions:
Pr: 0.0000 0.0000 0.2490
Pr: 0.0000 0.0000 0.7510
Pr: 0.3333 0.6667 0.4190
Pr: 0.3333 0.6667 0.9189
Pr: 0.6667 0.3333 0.0811
Pr: 0.6667 0.3333 0.5810
Mg: 0.3333 0.6667 0.6685
Mg: 0.6667 0.3333 0.3315
Tl: 0.0000 0.0000 0.0000
Tl: 0.0000 0.0000 0.5000
Tl: 0.3333 0.6667 0.1755
Tl: 0.6667 0.3333 0.8245

## Properties
* electronic total energy: -45.02 eV for the cell shown
* total moment: 0.000 μB per formula unit

***

[2]
First-principles (PBE) data for a relaxed structure of GdHf2Ga, as listed in Alexandria.

a = 4.4505 Å, b = 4.4505 Å, c = 4.4074 Å
α = 90.00°, β = 90.00°, γ = 90.00°
Fractional positions:
Gd: 0.0000 0.0000 0.0000
Hf: 0.0000 0.5000 0.5000
Hf: 0.5000 0.0000 0.5000
Ga: 0.5000 0.5000 0.0000

## Properties
* electronic total energy: -37.55 eV for the cell shown
* total moment: 7.126 μB per formula unit

***

[3]
First-principles (PBE) data for a relaxed structure of Pr4DyPb2, as listed in Alexandria.

a = 9.9371 Å, b = 9.9371 Å, c = 9.9371 Å
α = 32.74°, β = 32.74°, γ = 32.74°
Fractional positions:
Pr: 0.1273 0.1273 0.1273
Pr: 0.2766 0.2766 0.2766
Pr: 0.7234 0.7234 0.7234
Pr: 0.8727 0.8727 0.8727
Dy: 0.5000 0.5000 0.5000
Pb: 0.3914 0.3914 0.3914
Pb: 0.6086 0.6086 0.6086

## Properties
* electronic total energy: -32.25 eV for the cell shown
* total moment: 0.000 μB per formula unit

***

[4]
First-principles (PBE) data for a relaxed structure of Tb2NiP3Rh4, as listed in Alexandria.

a = 4.0628 Å, b = 4.0628 Å, c = 9.7663 Å
α = 90.00°, β = 90.00°, γ = 90.00°
Fractional positions:
Tb: 0.0000 0.5000 0.2394
Tb: 0.5000 0.0000 0.7606
Ni: 0.5000 0.5000 0.0000
P: 0.0000 0.0000 0.0000
P: 0.0000 0.5000 0.6372
P: 0.5000 0.0000 0.3628
Rh: 0.0000 0.0000 0.5000
Rh: 0.0000 0.5000 0.8688
Rh: 0.5000 0.0000 0.1312
Rh: 0.5000 0.5000 0.5000

## Properties
* electronic total energy: -70.54 eV for the cell shown
* total moment: 0.000 μB per formula unit

***

no.,formation energy from the elements (meV/atom)
1,-307
2,-134
3,-159
4,-986